A geometry-optimized CrRuC2O structure, computed with PBE+U.

Cell and atoms, written as POSCAR:
```
CrRuC2O
1.0
-0.991 3.458 1.334
-0.732 -1.457 3.234
3.624 0.615 1.097
Ru C O Cr
1 2 1 1
Direct
0.500 0.500 0.500
0.000 0.000 0.500
0.500 0.000 0.000
0.000 0.000 0.000
0.000 0.500 0.000
```

* N(E_F): 0.617 states/eV/atom
* total energy: -30.97 eV per cell
* calculated volume: 53.3 Å³/cell
* size of the total moment: 0.576 μB per atom
* crystal system: tetragonal


A geometry-optimized CrTc2CO structure, computed with PBE+U.

Cell and atoms, written as POSCAR:
```
CrTc2CO
1.0
-1.195 1.868 -3.908
-2.980 -1.674 0.111
-1.852 3.445 2.212
Cr C Tc O
1 1 2 1
Direct
0.000 0.000 0.000
0.500 0.500 0.500
0.000 0.000 0.500
0.500 0.000 0.000
0.000 0.500 0.000
```

* N(E_F): 1.320 states/eV/atom
* total energy: -32.24 eV per cell
* calculated volume: 69.0 Å³/cell
* size of the total moment: 0.000 μB per atom
* crystal system: tetragonal


A geometry-optimized Tl2CrC2O6 structure, computed with PBE+U.

Cell and atoms, written as POSCAR:
```
Tl2CrC2O6
1.0
5.137 0.000 0.000
-2.568 5.686 0.043
0.000 -3.174 6.103
Tl Cr C O
2 1 2 6
Direct
0.692 0.383 0.196
0.308 0.617 0.804
0.500 0.000 0.500
0.991 0.982 0.707
0.009 0.018 0.293
0.868 0.737 0.655
0.160 0.884 0.264
0.276 0.116 0.736
0.840 0.116 0.736
0.724 0.884 0.264
0.132 0.263 0.345
```

* N(E_F): 0.000 states/eV/atom
* total energy: -74.86 eV per cell
* calculated volume: 179.0 Å³/cell
* size of the total moment: 0.364 μB per atom
* crystal system: monoclinic